[1]
Na3PRu | PBE-GGA | relaxed

Its spin magnetization is 3.9 Bohr magnetons per cell. The formation energy is 0.945 eV per atom. As for the energy above the most stable polymorph in this dataset: 0.00 kcal/mol of atoms. For the total energy, the calculation gives -13.9 eV/f.u.

The structure belongs to space group Pm-3m (No. 221); the cell edges are 5.335, 5.335 and 5.335 Å and the angles 90.00°, 90.00° and 90.00°. The distinct sites, in fractional coordinates, are Na at (0.000, 0.000, 0.500), P at (0.000, 0.000, 0.000) and Ru at (0.500, 0.500, 0.500).

***

[2]
PrZn4Ga4 | PBE-GGA | relaxed

Its spin magnetization is 0.0 Bohr magnetons per cell. The formation energy is -0.095 eV per atom. For the total energy, the calculation gives -22.8 eV/f.u.

The structure belongs to space group P4_2/n (No. 86, origin choice 2); the cell edges are 8.240, 8.240 and 5.483 Å and the angles 90.00°, 90.00° and 90.00°. The distinct sites, in fractional coordinates, are Pr at (0.250, 0.250, 0.250), Zn at (0.084, 0.899, 0.118) and Ga at (0.098, 0.599, 0.118).

***

[3]
OsBr2Cl | PBE-GGA | relaxed

Its spin magnetization is 0.0 Bohr magnetons per cell. As for the energy above the most stable polymorph in this dataset: 18.42 kcal/mol of atoms. For the total energy, the calculation gives -13.2 eV/f.u. The value obtained for the uncorrected formation energy is 0.8040 eV per atom.

The structure belongs to space group P4mm (No. 99); the cell edges are 3.129, 3.129 and 9.793 Å and the angles 90.00°, 90.00° and 90.00°. The distinct sites, in fractional coordinates, are Os at (0.000, 0.000, 0.000), Br at (0.000, 0.000, 0.450), Br at (0.500, 0.500, 0.137) and Cl at (0.500, 0.500, 0.825).

***

[4]
CoB2Rh2 | PBE-GGA | relaxed

Its spin magnetization is 5.2 Bohr magnetons per cell. The formation energy is 0.033 eV per atom. As for the energy above the most stable polymorph in this dataset: 3.07 kcal/mol of atoms. For the total energy, the calculation gives -35.0 eV/f.u.

The structure belongs to space group I4/mmm (No. 139); the cell edges are 3.765, 3.765 and 7.890 Å and the angles 90.00°, 90.00° and 90.00°. The distinct sites, in fractional coordinates, are Co at (0.000, 0.000, 0.000), B at (0.000, 0.000, 0.389) and Rh at (0.000, 0.500, 0.250).

***

[5]
CeScS4 | PBE-GGA | relaxed

Its spin magnetization is 0.0 Bohr magnetons per cell. As for the energy above the most stable polymorph in this dataset: 0.00 kcal/mol of atoms. For the total energy, the calculation gives -37.1 eV/f.u. The value obtained for the uncorrected formation energy is -1.3895 eV per atom.

The structure belongs to space group Cmmm (No. 65); the cell edges are 8.737, 8.764 and 4.027 Å and the angles 90.00°, 90.00° and 90.00°. The distinct sites, in fractional coordinates, are Ce at (0.000, 0.000, 0.000), Sc at (0.000, 0.500, 0.500), S at (0.000, 0.207, 0.500) and S at (0.189, 0.500, 0.000).

***

[6]
Ba3TiZn | PBE-GGA | relaxed

Its spin magnetization is 3.0 Bohr magnetons per cell. The formation energy is 0.607 eV per atom. As for the energy above the most stable polymorph in this dataset: 0.00 kcal/mol of atoms. For the total energy, the calculation gives -11.9 eV/f.u.

The structure belongs to space group Pm-3m (No. 221); the cell edges are 6.344, 6.344 and 6.344 Å and the angles 90.00°, 90.00° and 90.00°. The distinct sites, in fractional coordinates, are Ba at (0.000, 0.000, 0.500), Ti at (0.500, 0.500, 0.500) and Zn at (0.000, 0.000, 0.000).